Below is a geometry-optimized Cr2Os structure, with properties calculated at the PBE level.

abc: 4.9633 4.9633 5.8571
angles: 74.20 74.20 33.49
With the nearest neighbours (Å) after each atom.
Fractional positions:
Cr: 0.9909 0.9909 0.0451  2 Cr 2.29, 2 Os 2.54
Cr: 0.2984 0.2984 0.3720  6 Cr 2.44-2.66, 3 Os 2.56-2.64
Cr: 0.6155 0.6155 0.2243  2 Cr 2.29, 4 Os 2.51-2.52
Os: 0.9690 0.9690 0.5635  7 Cr 2.52-2.82, 2 Os 2.71
Os: 0.3000 0.3000 0.9336  7 Cr 2.51-2.62, 2 Os 2.71
Cr: 0.6595 0.6595 0.6948  4 Cr 2.44-2.64, 4 Os 2.59-2.62

As for the spin magnetization: 0.000 μB per formula unit. The formation energy comes out at 0.4 eV/f.u. The space-group type is Cm.



Below is a geometry-optimized Tb2PaGa3Pt4 structure, with properties calculated at the PBE level.

abc: 4.3206 4.3206 11.0496
angles: 90.00 90.00 90.00
With the nearest neighbours (Å) after each atom.
Fractional positions:
Pa: 0.5000 0.5000 0.5000  4 Pt 2.75, 4 Ga 3.06
Ga: 0.5000 0.0000 0.8774  5 Pt 2.47-2.55
Pt: 0.5000 0.0000 0.6541  3 Ga 2.47-2.75, 2 Pa 2.75
Pt: 0.0000 0.0000 0.0000  4 Ga 2.55
Tb: 0.0000 0.5000 0.7814  4 Ga 3.23, 8 Pt 3.24-3.36
Tb: 0.5000 0.0000 0.2186  4 Ga 3.23, 8 Pt 3.24-3.36
Ga: 0.0000 0.0000 0.5000  4 Pt 2.75, 4 Pa 3.06
Pt: 0.0000 0.5000 0.3459  3 Ga 2.47-2.75, 2 Pa 2.75
Ga: 0.0000 0.5000 0.1226  5 Pt 2.47-2.55
Pt: 0.5000 0.5000 0.0000  4 Ga 2.55

As for the spin magnetization: 0.000 μB per formula unit. The formation energy comes out at -8.8 eV/f.u. The space-group type is P-4m2.



Below is a geometry-optimized Pm2H12Rh3Au structure, with properties calculated at the PBE level.

abc: 6.1118 6.1118 6.1118
angles: 60.97 60.97 60.97
With the nearest neighbours (Å) after each atom.
Fractional positions:
H: 0.3305 0.8577 0.3305  2 Rh 1.75, 2 H 1.90
H: 0.3305 0.3305 0.8577  2 Rh 1.75, 2 H 1.90
H: 0.1168 0.6098 0.1168  1 Rh 1.70
H: 0.1423 0.6695 0.6695  2 Rh 1.75, 2 H 1.90
Rh: 0.0000 0.5000 0.0000  6 H 1.70-1.75
Rh: 0.5000 0.0000 0.0000  6 H 1.70-1.75
Pm: 0.6167 0.6167 0.6167  6 H 2.33-2.50
H: 0.8832 0.3902 0.8832  1 Rh 1.70
Pm: 0.3833 0.3833 0.3833  6 H 2.33-2.50
H: 0.6695 0.6695 0.1423  2 Rh 1.75, 2 H 1.90
H: 0.1168 0.1168 0.6098  1 Rh 1.70
H: 0.6098 0.1168 0.1168  1 Rh 1.70
Au: 0.0000 0.0000 0.0000  6 H 1.97
H: 0.8577 0.3305 0.3305  2 Rh 1.75, 2 H 1.90
H: 0.3902 0.8832 0.8832  1 Rh 1.70
H: 0.8832 0.8832 0.3902  1 Rh 1.70
Rh: 0.0000 0.0000 0.5000  6 H 1.70-1.75
H: 0.6695 0.1423 0.6695  2 Rh 1.75, 2 H 1.90

As for the spin magnetization: 0.001 μB per formula unit. The space-group type is R-3m. The total energy comes out at -4.367 eV per atom.



Below is a geometry-optimized Sb3WC structure, with properties calculated at the PBE level.

abc: 4.6284 4.6284 4.6284
angles: 90.00 90.00 90.00
With the nearest neighbours (Å) after each atom.
Fractional positions:
Sb: 0.5000 0.0000 0.0000  2 C 2.31
Sb: 0.0000 0.0000 0.5000  2 C 2.31
C: 0.0000 0.0000 0.0000  6 Sb 2.31
Sb: 0.0000 0.5000 0.0000  2 C 2.31
W: 0.5000 0.5000 0.5000  12 Sb 3.27

For the energy above the lowest structure with this stoichiometry, the calculation gives 0.000 eV per atom. As for the uncorrected formation energy: 1457 meV per atom. As for the spin magnetization: 1.567 μB per formula unit. The space-group type is Pm-3m.



Below is a geometry-optimized Tb2Cl3O structure, with properties calculated at the PBE level.

abc: 3.9302 8.1879 9.6073
angles: 71.46 78.20 76.11
With the nearest neighbours (Å) after each atom.
Fractional positions:
Tb: 0.5830 0.2871 0.5468  2 O 2.27-2.28
Tb: 0.4170 0.7129 0.4532  2 O 2.27-2.28
Cl: 0.2259 0.1638 0.3844  3 Tb 2.82-2.83
Cl: 0.9548 0.8526 0.2377  3 Tb 2.74-2.82
O: 0.5832 0.5039 0.3297  4 Tb 2.24-2.28
Cl: 0.6650 0.6808 0.9892  3 Tb 2.80-2.90, 1 O 3.11
Tb: 0.1345 0.5177 0.2132  2 O 2.24
Tb: 0.8655 0.4823 0.7868  2 O 2.24
Cl: 0.7741 0.8362 0.6156  3 Tb 2.82-2.83
Cl: 0.3350 0.3192 0.0108  3 Tb 2.80-2.90, 1 O 3.11
Cl: 0.0452 0.1474 0.7623  3 Tb 2.74-2.82
O: 0.4168 0.4961 0.6703  4 Tb 2.24-2.28

As for the uncorrected formation energy: -2575 meV per atom. As for the spin magnetization: 0.000 μB per formula unit. The space-group type is C2/m.



Below is a geometry-optimized CeSm2Hg structure, with properties calculated at the PBE level.

abc: 3.6533 3.6533 8.7039
angles: 90.00 90.00 90.00
With the nearest neighbours (Å) after each atom.
Fractional positions:
Hg: 0.5000 0.5000 0.0000  8 Sm 3.28, 4 Hg 3.65
Ce: 0.5000 0.5000 0.5000  8 Sm 3.48, 4 Ce 3.65
Sm: 0.0000 0.0000 0.7684  4 Hg 3.28, 4 Ce 3.48, 4 Sm 3.65
Sm: 0.0000 0.0000 0.2316  4 Hg 3.28, 4 Ce 3.48, 4 Sm 3.65

For the energy above the lowest structure with this stoichiometry, the calculation gives 0.000 eV per atom. As for the spin magnetization: 0.312 μB per formula unit. The formation energy comes out at -0.8 eV/f.u. The space-group type is P4/mmm.



Below is a geometry-optimized PaFe2Si structure, with properties calculated at the PBE level.

abc: 3.6801 5.5885 4.1430
angles: 132.41 90.03 90.00
With the nearest neighbours (Å) after each atom.
Fractional positions:
Si: 0.5000 0.0000 0.0000  4 Fe 2.25
Fe: 0.9996 0.7892 0.5784  2 Si 2.25
Fe: 0.0004 0.2108 0.4216  2 Si 2.25
Pa: 0.5000 0.5000 0.0000  4 Fe 2.55, 2 Si 2.79

As for the uncorrected formation energy: -42 meV per atom. As for the spin magnetization: 0.017 μB per formula unit. The space-group type is Cmmm.



Below is a geometry-optimized NaTiBeGe2 structure, with properties calculated at the PBE level.

abc: 4.8334 4.6863 4.8334
angles: 90.00 90.00 90.00
With the nearest neighbours (Å) after each atom.
Fractional positions:
Ti: 0.0000 0.5000 0.0000  2 Na 2.34
Na: 0.0000 0.0000 0.0000  2 Ti 2.34, 4 Ge 2.42
Ge: 0.0000 0.0000 0.5000  2 Na 2.42
Ge: 0.5000 0.0000 0.0000  2 Na 2.42
Be: 0.5000 0.5000 0.5000  8 Ge 3.37, 4 Ti 3.42

As for the spin magnetization: 0.000 μB per formula unit. The formation energy comes out at 8.0 eV/f.u. The space-group type is P4/mmm.



Below is a geometry-optimized VCoSbRh2 structure, with properties calculated at the PBE level.

abc: 4.7694 4.8261 4.7694
angles: 90.00 90.00 90.00
With the nearest neighbours (Å) after each atom.
Fractional positions:
Co: 0.5000 0.5000 0.5000  4 V 3.37, 8 Rh 3.39
Rh: 0.0000 0.0000 0.5000  2 Sb 2.38
V: 0.0000 0.5000 0.0000  2 Sb 2.41
Rh: 0.5000 0.0000 0.0000  2 Sb 2.38
Sb: 0.0000 0.0000 0.0000  4 Rh 2.38, 2 V 2.41

As for the uncorrected formation energy: 1514 meV per atom. As for the spin magnetization: 2.493 μB per formula unit. The space-group type is P4/mmm.



Below is a geometry-optimized RbH2RuF8 structure, with properties calculated at the PBE level.

abc: 5.1368 5.0607 7.9600
angles: 80.96 80.10 68.88
With the nearest neighbours (Å) after each atom.
Fractional positions:
Rb: 0.0000 0.0000 0.5000  8 F 2.91-3.24
F: 0.2215 0.7635 0.1696  1 Ru 1.89
F: 0.7785 0.2365 0.8304  1 Ru 1.89
Ru: 0.0000 0.0000 0.0000  6 F 1.89-1.91
F: 0.6664 0.6903 0.3852  1 H 0.97
F: 0.3336 0.3097 0.6148  1 H 0.97
F: 0.2207 0.7693 0.8258  1 Ru 1.89
F: 0.7793 0.2307 0.1742  1 Ru 1.89
F: 0.7603 0.7767 0.0559  1 H 1.63
H: 0.6856 0.7029 0.2613  1 F 0.97
F: 0.2397 0.2233 0.9441  1 H 1.63
H: 0.3144 0.2971 0.7387  1 F 0.97

As for the spin magnetization: 3.000 μB per formula unit. The space-group type is P-1. The total energy comes out at -4.581 eV per atom.



Below is a geometry-optimized TeRuO2 structure, with properties calculated at the PBE level.

abc: 7.7591 7.7591 7.7591
angles: 22.64 22.64 22.64
With the nearest neighbours (Å) after each atom.
Fractional positions:
O: 0.0796 0.0796 0.0796  1 Ru 1.80
O: 0.9204 0.9204 0.9204  1 Ru 1.80
Te: 0.5000 0.5000 0.5000  6 O 2.64
Ru: 0.0000 0.0000 0.0000  2 O 1.80

As for the uncorrected formation energy: -18 meV per atom. As for the spin magnetization: 0.000 μB per formula unit. The space-group type is R-3m.



Below is a geometry-optimized AlMoBr2 structure, with properties calculated at the PBE level.

abc: 9.3099 9.3099 7.0722
angles: 48.84 48.84 90.00
With the nearest neighbours (Å) after each atom.
Fractional positions:
Al: 0.5000 0.5000 0.0000  2 Mo 2.58
Br: 0.8750 0.0153 0.7500  2 Mo 2.62
Mo: 0.0000 0.0000 0.0000  2 Al 2.58, 4 Br 2.62
Mo: 0.7500 0.2500 0.5000  2 Al 2.58, 4 Br 2.62
Br: 0.7653 0.1250 0.2500  2 Mo 2.62
Br: 0.9847 0.6250 0.2500  2 Mo 2.62
Al: 0.2500 0.7500 0.5000  2 Mo 2.58
Br: 0.3750 0.2347 0.7500  2 Mo 2.62

For the energy above the lowest structure with this stoichiometry, the calculation gives 0.496 eV per atom. As for the uncorrected formation energy: 287 meV per atom. As for the spin magnetization: 2.227 μB per formula unit. The space-group type is I-42d.



Below is a geometry-optimized CdSi2PbS6 structure, with properties calculated at the PBE level.

abc: 6.2621 9.0344 9.0344
angles: 91.52 80.01 80.01
With the nearest neighbours (Å) after each atom.
Fractional positions:
S: 0.0284 0.3011 0.4148  2 Si 2.17-2.20
Pb: 0.7500 0.1031 0.8969  6 S 2.92-3.15
S: 0.1005 0.5830 0.1501  1 Si 2.12
S: 0.7101 0.7910 0.9637  1 Si 2.10
S: 0.3995 0.8499 0.4170  1 Si 2.12
S: 0.2899 0.2090 0.0363  1 Si 2.10
Pb: 0.2500 0.8969 0.1031  6 S 2.92-3.15
S: 0.6005 0.1501 0.5830  1 Si 2.12
S: 0.7899 0.0363 0.2090  1 Si 2.10
S: 0.5284 0.4148 0.3011  2 Si 2.17-2.20
S: 0.4716 0.5852 0.6989  2 Si 2.17-2.20
S: 0.2101 0.9637 0.7910  1 Si 2.10
Si: 0.2343 0.3693 0.2185  4 S 2.10-2.20
Cd: 0.2500 0.3206 0.6794  2 S 2.46
S: 0.9716 0.6989 0.5852  2 Si 2.17-2.20
Cd: 0.7500 0.6794 0.3206  2 S 2.46
Si: 0.7343 0.2185 0.3693  4 S 2.10-2.20
S: 0.8995 0.4170 0.8499  1 Si 2.12
Si: 0.7657 0.6307 0.7815  4 S 2.10-2.20
Si: 0.2657 0.7815 0.6307  4 S 2.10-2.20

As for the uncorrected formation energy: -547 meV per atom. As for the spin magnetization: 0.000 μB per formula unit. The space-group type is C2/c.



Below is a geometry-optimized Er8GeAs3Se4 structure, with properties calculated at the PBE level.

abc: 8.1451 8.1561 8.1450
angles: 119.96 120.00 90.00
With the nearest neighbours (Å) after each atom.
Fractional positions:
Er: 0.7560 0.2634 0.0074  1 Ge 2.81, 2 As 2.84, 3 Se 2.93-2.95
As: 0.0000 0.5000 0.5000  6 Er 2.83-2.84
Se: 0.0000 0.0000 0.0000  6 Er 2.93
Se: 0.0000 0.0000 0.5000  6 Er 2.93
Er: 0.7458 0.7372 0.4915  3 As 2.83, 3 Se 2.93
Se: 0.5000 0.0000 0.0000  6 Er 2.95
Er: 0.7560 0.2634 0.5120  1 Ge 2.81, 2 As 2.84, 3 Se 2.93-2.95
As: 0.5000 0.5000 0.0000  6 Er 2.83-2.84
Ge: 0.0000 0.5000 0.0000  6 Er 2.81
Se: 0.5000 0.0000 0.5000  6 Er 2.93
Er: 0.2514 0.2634 0.0074  1 Ge 2.81, 2 As 2.84, 3 Se 2.93-2.95
Er: 0.2440 0.7366 0.4880  1 Ge 2.81, 2 As 2.84, 3 Se 2.93-2.95
Er: 0.2440 0.7366 0.9926  1 Ge 2.81, 2 As 2.84, 3 Se 2.93-2.95
Er: 0.7486 0.7366 0.9926  1 Ge 2.81, 2 As 2.84, 3 Se 2.93-2.95
As: 0.5000 0.5000 0.5000  6 Er 2.83-2.84
Er: 0.2542 0.2628 0.5085  3 As 2.83, 3 Se 2.93

As for the uncorrected formation energy: -1611 meV per atom. As for the spin magnetization: 0.000 μB per formula unit. The space-group type is R-3m.



Below is a geometry-optimized Cu2PSe structure, with properties calculated at the PBE level.

abc: 2.9362 2.9362 7.1900
angles: 90.00 90.00 99.59
With the nearest neighbours (Å) after each atom.
Fractional positions:
P: 0.5000 0.5000 0.2500  8 Cu 2.43-2.71
Cu: 0.0000 0.0000 0.4611  4 P 2.43-2.71
Se: 0.5000 0.5000 0.7500  8 Cu 2.81-3.06, 4 Se 2.94
Cu: 0.0000 0.0000 0.0389  4 P 2.43-2.71

As for the uncorrected formation energy: 321 meV per atom. As for the spin magnetization: 0.000 μB per formula unit. The space-group type is Cmmm.



Below is a geometry-optimized RbNpO2 structure, with properties calculated at the PBE level.

abc: 3.0751 3.0751 6.8058
angles: 90.00 90.00 90.00
With the nearest neighbours (Å) after each atom.
Fractional positions:
Rb: 0.5000 0.5000 0.5000  8 O 3.02, 4 Rb 3.08
O: 0.0000 0.0000 0.8073  4 Np 2.54, 1 O 2.62
Np: 0.5000 0.5000 0.0000  8 O 2.54
O: 0.0000 0.0000 0.1927  4 Np 2.54, 1 O 2.62

As for the uncorrected formation energy: -1798 meV per atom. As for the spin magnetization: 3.964 μB per formula unit. The space-group type is P4/mmm.



Below is a geometry-optimized V2CoBW structure, with properties calculated at the PBE level.

abc: 4.1596 4.4646 4.1596
angles: 90.00 90.00 90.00
With the nearest neighbours (Å) after each atom.
Fractional positions:
Co: 0.0000 0.0000 0.0000  4 V 2.08, 2 W 2.23
V: 0.0000 0.0000 0.5000  2 Co 2.08
B: 0.5000 0.5000 0.5000  4 W 2.94, 8 V 3.05
W: 0.0000 0.5000 0.0000  2 Co 2.23
V: 0.5000 0.0000 0.0000  2 Co 2.08

As for the spin magnetization: 0.000 μB per formula unit. The formation energy comes out at 7.7 eV/f.u. The space-group type is P4/mmm.



Below is a geometry-optimized BaNa3Ru structure, with properties calculated at the PBE level.

abc: 5.5855 5.5855 5.5855
angles: 90.00 90.00 90.00
With the nearest neighbours (Å) after each atom.
Fractional positions:
Ba: 0.5000 0.5000 0.5000  12 Na 3.95
Na: 0.0000 0.0000 0.5000  2 Ru 2.79
Ru: 0.0000 0.0000 0.0000  6 Na 2.79
Na: 0.0000 0.5000 0.0000  2 Ru 2.79
Na: 0.5000 0.0000 0.0000  2 Ru 2.79

For the energy above the lowest structure with this stoichiometry, the calculation gives 0.000 eV per atom. As for the spin magnetization: 0.995 μB per formula unit. The formation energy comes out at 3.6 eV/f.u. The space-group type is Pm-3m.



Below is a geometry-optimized ZnGeS structure, with properties calculated at the PBE level.

abc: 5.5819 3.7393 6.3679
angles: 90.00 112.12 90.00
With the nearest neighbours (Å) after each atom.
Fractional positions:
Zn: 0.1741 0.0000 0.8082  3 S 2.43-2.44
S: 0.3991 0.5000 0.7179  1 Ge 2.31, 3 Zn 2.43-2.44
Ge: 0.8461 0.5000 0.8610  1 S 2.31
S: 0.3991 0.0000 0.2179  1 Ge 2.31, 3 Zn 2.43-2.44
Ge: 0.8461 0.0000 0.3610  1 S 2.31
Zn: 0.1741 0.5000 0.3082  3 S 2.43-2.44

As for the uncorrected formation energy: -127 meV per atom. As for the spin magnetization: 0.000 μB per formula unit. The space-group type is Cm.



Below is a geometry-optimized TiMoSe2Br structure, with properties calculated at the PBE level.

abc: 4.9960 4.9960 5.0008
angles: 90.00 90.00 90.00
With the nearest neighbours (Å) after each atom.
Fractional positions:
Mo: 0.5000 0.5000 0.5000  4 Br 3.53, 8 Se 3.53
Se: 0.0000 0.5000 0.0000  2 Ti 2.50
Br: 0.0000 0.0000 0.5000  2 Ti 2.50
Se: 0.5000 0.0000 0.0000  2 Ti 2.50
Ti: 0.0000 0.0000 0.0000  4 Se 2.50, 2 Br 2.50

For the energy above the lowest structure with this stoichiometry, the calculation gives 0.000 eV per atom. As for the uncorrected formation energy: 234 meV per atom. As for the spin magnetization: 4.882 μB per formula unit. The space-group type is P4/mmm.